VASP calculation (GGA-PBE) on Hf3TlCo after structural relaxation.

Properties
Its space-group type is No. 11. The energy above the most stable polymorph in this dataset comes out at 0.0 meV per atom.

Cell lengths 8.0373, 3.4815, 8.0812 Å; angles 90.00, 114.81, 90.00 degrees
Last column: nearest neighbours and their distance in Å.
Atoms (fractional coordinates):
Hf 0.0648 0.2500 0.3096  3 Co 2.64-2.83
Hf 0.2946 0.2500 0.9812  3 Co 2.71-2.94
Hf 0.3928 0.7500 0.3314  1 Co 2.44
Hf 0.6072 0.2500 0.6686  1 Co 2.44
Hf 0.7054 0.7500 0.0188  3 Co 2.71-2.94
Hf 0.9352 0.7500 0.6904  3 Co 2.64-2.83
Tl 0.2936 0.7500 0.6645  8 Hf 2.97-3.20
Tl 0.7064 0.2500 0.3355  8 Hf 2.97-3.20
Co 0.0911 0.7500 0.0755  2 Co 2.27, 1 Hf 2.44
Co 0.9089 0.2500 0.9245  2 Co 2.27, 1 Hf 2.44

***

VASP calculation (GGA-PBE) on Hf6Tl3Co after structural relaxation.

Properties
The total energy comes out at -144.97 eV/cell. Its space-group type is No. 14.

Cell lengths 5.4853, 8.3339, 11.0414 Å; angles 90.00, 117.59, 90.00 degrees
Last column: nearest neighbours and their distance in Å.
Atoms (fractional coordinates):
Hf 0.0566 0.1574 0.4528  1 Co 2.59
Hf 0.0566 0.3426 0.9528  1 Co 2.59
Hf 0.3515 0.7160 0.4280  1 Co 2.51
Hf 0.3515 0.7840 0.9280  1 Co 2.51
Hf 0.4204 0.0731 0.2744  1 Co 2.40
Hf 0.4204 0.4269 0.7744  1 Co 2.40
Hf 0.5796 0.5731 0.2256  1 Co 2.40
Hf 0.5796 0.9269 0.7256  1 Co 2.40
Hf 0.6485 0.2160 0.0720  1 Co 2.51
Hf 0.6485 0.2840 0.5720  1 Co 2.51
Hf 0.9434 0.6574 0.0472  1 Co 2.59
Hf 0.9434 0.8426 0.5472  1 Co 2.59
Tl 0.0000 0.0000 0.0000  6 Hf 2.90-3.00, 2 Tl 3.19
Tl 0.0000 0.5000 0.5000  6 Hf 2.90-3.00, 2 Tl 3.19
Tl 0.1612 0.1057 0.7685  8 Hf 2.95-3.31, 1 Tl 3.19
Tl 0.1612 0.3943 0.2685  8 Hf 2.95-3.31, 1 Tl 3.19
Tl 0.8388 0.6057 0.7315  8 Hf 2.95-3.31, 1 Tl 3.19
Tl 0.8388 0.8943 0.2315  8 Hf 2.95-3.31, 1 Tl 3.19
Co 0.5000 0.0000 0.5000  6 Hf 2.40-2.59
Co 0.5000 0.5000 0.0000  6 Hf 2.40-2.59

***

VASP calculation (GGA-PBE) on HfTl2Co after structural relaxation.

Properties
The total energy comes out at -39.40 eV/cell. Its space-group type is No. 122.

Cell lengths 6.1451, 6.1451, 6.1451 Å; angles 102.83, 102.83, 123.77 degrees
Last column: nearest neighbours and their distance in Å.
Atoms (fractional coordinates):
Hf 0.0000 0.0000 0.0000  2 Co 2.90, 4 Tl 3.03
Hf 0.7500 0.2500 0.5000  2 Co 2.90, 4 Tl 3.03
Tl 0.1664 0.6250 0.0414  2 Co 2.60
Tl 0.3750 0.4164 0.5414  2 Co 2.60
Tl 0.5836 0.1250 0.9586  2 Co 2.60
Tl 0.8750 0.8336 0.4586  2 Co 2.60
Co 0.2500 0.7500 0.5000  4 Tl 2.60, 2 Hf 2.90
Co 0.5000 0.5000 0.0000  4 Tl 2.60, 2 Hf 2.90

***

VASP calculation (GGA-PBE) on Hf5Tl2Co2 after structural relaxation.

Properties
The total energy comes out at -140.44 eV/cell. Its space-group type is No. 64.

Cell lengths 8.3263, 8.3263, 6.6036 Å; angles 90.00, 90.00, 54.54 degrees
Last column: nearest neighbours and their distance in Å.
Atoms (fractional coordinates):
Hf 0.0000 0.0000 0.0000  2 Co 2.56
Hf 0.0685 0.7152 0.6530  3 Co 2.54-2.78
Hf 0.2152 0.5685 0.1530  3 Co 2.54-2.78
Hf 0.2848 0.9315 0.6530  3 Co 2.54-2.78
Hf 0.4315 0.7848 0.1530  3 Co 2.54-2.78
Hf 0.5000 0.5000 0.5000  2 Co 2.56
Hf 0.5685 0.2152 0.8470  3 Co 2.54-2.78
Hf 0.7152 0.0685 0.3470  3 Co 2.54-2.78
Hf 0.7848 0.4315 0.8470  3 Co 2.54-2.78
Hf 0.9315 0.2848 0.3470  3 Co 2.54-2.78
Tl 0.2199 0.2199 0.0000  7 Hf 3.05-3.25
Tl 0.2801 0.2801 0.5000  7 Hf 3.05-3.25
Tl 0.7199 0.7199 0.5000  7 Hf 3.05-3.25
Tl 0.7801 0.7801 0.0000  7 Hf 3.05-3.25
Co 0.1210 0.8790 0.3621  7 Hf 2.54-2.78, 1 Co 2.59
Co 0.3790 0.6210 0.8621  7 Hf 2.54-2.78, 1 Co 2.59
Co 0.6210 0.3790 0.1379  7 Hf 2.54-2.78, 1 Co 2.59
Co 0.8790 0.1210 0.6379  7 Hf 2.54-2.78, 1 Co 2.59

***

VASP calculation (GGA-PBE) on Hf3TlCo after structural relaxation.

Properties
Its space-group type is No. 12. The energy above the most stable polymorph in this dataset comes out at 1.2 meV per atom.

Cell lengths 6.3294, 6.3294, 10.4126 Å; angles 90.22, 90.22, 29.70 degrees
Last column: nearest neighbours and their distance in Å.
Atoms (fractional coordinates):
Hf 0.0278 0.0278 0.3541  4 Co 2.56-2.68
Hf 0.2348 0.2348 0.6423  3 Co 2.51-2.72
Hf 0.4185 0.4185 0.1398  6 Hf 3.06-3.37, 5 Tl 3.19-3.37, 1 Co 3.37
Hf 0.5815 0.5815 0.8602  6 Hf 3.06-3.37, 5 Tl 3.19-3.37, 1 Co 3.37
Hf 0.7652 0.7652 0.3577  3 Co 2.51-2.72
Hf 0.9722 0.9722 0.6459  4 Co 2.56-2.68
Tl 0.1581 0.1581 0.1085  8 Hf 3.02-3.37, 2 Tl 3.24
Tl 0.8419 0.8419 0.8915  8 Hf 3.02-3.37, 2 Tl 3.24
Co 0.3942 0.3942 0.4617  7 Hf 2.51-2.72, 1 Co 2.71
Co 0.6058 0.6058 0.5383  7 Hf 2.51-2.72, 1 Co 2.71

***

VASP calculation (GGA-PBE) on Hf8TlCo2 after structural relaxation.

Properties
The total energy comes out at -96.63 eV/cell. Its space-group type is No. 12.

Cell lengths 7.5449, 7.5449, 5.6508 Å; angles 91.69, 91.69, 45.03 degrees
Last column: nearest neighbours and their distance in Å.
Atoms (fractional coordinates):
Hf 0.0948 0.0948 0.1252  1 Co 2.50
Hf 0.1336 0.6398 0.3646  2 Co 2.58-2.59, 1 Hf 2.85
Hf 0.2857 0.2857 0.8845  2 Co 2.75-3.07, 1 Hf 3.03, 1 Tl 3.04
Hf 0.3602 0.8664 0.6354  2 Co 2.58-2.59, 1 Hf 2.85
Hf 0.6398 0.1336 0.3646  2 Co 2.58-2.59, 1 Hf 2.85
Hf 0.7143 0.7143 0.1155  2 Co 2.75-3.07, 1 Hf 3.03, 1 Tl 3.04
Hf 0.8664 0.3602 0.6354  2 Co 2.58-2.59, 1 Hf 2.85
Hf 0.9052 0.9052 0.8748  1 Co 2.50
Tl 0.5000 0.5000 0.0000  10 Hf 3.01-3.25
Co 0.2356 0.2356 0.4096  6 Hf 2.50-2.75
Co 0.7644 0.7644 0.5904  6 Hf 2.50-2.75

***

VASP calculation (GGA-PBE) on TmHf2Co3 after structural relaxation.

Properties
The total energy comes out at -47.88 eV/cell. Its space-group type is No. 123.

Cell lengths 3.1715, 3.1715, 9.7420 Å; angles 90.00, 90.00, 90.00 degrees
Last column: nearest neighbours and their distance in Å.
Atoms (fractional coordinates):
Tm 0.0000 0.0000 0.0000  8 Co 2.92, 4 Tm 3.17
Hf 0.0000 0.0000 0.3370  8 Co 2.65-2.75
Hf 0.0000 0.0000 0.6630  8 Co 2.65-2.75
Co 0.5000 0.5000 0.1916  4 Hf 2.65, 4 Tm 2.92
Co 0.5000 0.5000 0.5000  8 Hf 2.75, 2 Co 3.00
Co 0.5000 0.5000 0.8084  4 Hf 2.65, 4 Tm 2.92

***

VASP calculation (GGA-PBE) on Tm4HfCo5 after structural relaxation.

Properties
The total energy comes out at -66.09 eV/cell. Its space-group type is No. 123.

Cell lengths 3.2547, 3.2547, 16.3583 Å; angles 90.00, 90.00, 90.00 degrees
Last column: nearest neighbours and their distance in Å.
Atoms (fractional coordinates):
Tm 0.0000 0.0000 0.1006  8 Co 2.83-2.85
Tm 0.0000 0.0000 0.3018  8 Co 2.81-2.93
Tm 0.0000 0.0000 0.6982  8 Co 2.81-2.93
Tm 0.0000 0.0000 0.8994  8 Co 2.83-2.85
Hf 0.0000 0.0000 0.5000  8 Co 2.71
Co 0.5000 0.5000 0.0000  8 Tm 2.83
Co 0.5000 0.5000 0.2035  8 Tm 2.81-2.85
Co 0.5000 0.5000 0.4123  4 Hf 2.71, 1 Co 2.87, 4 Tm 2.93
Co 0.5000 0.5000 0.5877  4 Hf 2.71, 1 Co 2.87, 4 Tm 2.93
Co 0.5000 0.5000 0.7965  8 Tm 2.81-2.85

***

VASP calculation (GGA-PBE) on Tm2HfCo2 after structural relaxation.

Properties
Its space-group type is No. 71. The energy above the most stable polymorph in this dataset comes out at 13.5 meV per atom.

Cell lengths 5.6537, 5.6537, 5.6537 Å; angles 140.08, 120.17, 74.36 degrees
Last column: nearest neighbours and their distance in Å.
Atoms (fractional coordinates):
Tm 0.2010 0.2010 0.0000  6 Co 2.89-3.16
Tm 0.7990 0.7990 0.0000  6 Co 2.89-3.16
Hf 0.5000 0.0000 0.5000  4 Co 2.54
Co 0.2066 0.5000 0.7066  1 Co 2.33, 2 Hf 2.54
Co 0.7934 0.5000 0.2934  1 Co 2.33, 2 Hf 2.54

***

VASP calculation (GGA-PBE) on TmHf2Co9 after structural relaxation.

Properties
The total energy comes out at -91.77 eV/cell. Its space-group type is No. 166.

Cell lengths 8.3874, 8.3874, 8.3874 Å; angles 33.68, 33.68, 33.68 degrees
Last column: nearest neighbours and their distance in Å.
Atoms (fractional coordinates):
Tm 0.0000 0.0000 0.0000  6 Co 2.81
Hf 0.1397 0.1397 0.1397  12 Co 2.76-2.93, 3 Hf 3.08
Hf 0.8603 0.8603 0.8603  12 Co 2.76-2.93, 3 Hf 3.08
Co 0.0781 0.5876 0.5876  7 Co 2.38-2.48
Co 0.3356 0.3356 0.3356  6 Co 2.42-2.47
Co 0.4124 0.4124 0.9219  7 Co 2.38-2.48
Co 0.4124 0.9219 0.4124  7 Co 2.38-2.48
Co 0.5000 0.5000 0.5000  6 Co 2.42
Co 0.5876 0.0781 0.5876  7 Co 2.38-2.48
Co 0.5876 0.5876 0.0781  7 Co 2.38-2.48
Co 0.6644 0.6644 0.6644  6 Co 2.42-2.47
Co 0.9219 0.4124 0.4124  7 Co 2.38-2.48

***

VASP calculation (GGA-PBE) on TmHfCo after structural relaxation.

Properties
Its space-group type is No. 12. The energy above the most stable polymorph in this dataset comes out at 0.0 meV per atom.

Cell lengths 6.7694, 6.7694, 6.2229 Å; angles 117.22, 117.22, 29.24 degrees
Last column: nearest neighbours and their distance in Å.
Atoms (fractional coordinates):
Tm 0.2130 0.2130 0.2129  2 Co 2.66
Tm 0.7870 0.7870 0.7871  2 Co 2.66
Hf 0.4996 0.4996 0.2545  4 Co 2.62
Hf 0.5004 0.5004 0.7455  4 Co 2.62
Co 0.1105 0.1105 0.6099  1 Co 2.55, 4 Hf 2.62, 2 Tm 2.66
Co 0.8895 0.8895 0.3901  1 Co 2.55, 4 Hf 2.62, 2 Tm 2.66